## ZrSn3As (GGA-PBE)

Data for a geometry-optimized ZrSn3As structure.

Results
D(E_F), states/eV/cell: 6.73
ΔE_f, eV/atom: 0.711
Energy above the most stable polymorph in this dataset, eV/atom: 0.0404
Total DFT energy (no corrections), eV/atom: -4.33
Total magnetization, μB per formula unit: 0.00

a = 5.2723 Å, b = 5.2723 Å, c = 5.2723 Å
α = 90.00°, β = 90.00°, γ = 90.00°
Closest atoms and distances in Å follow each position.
Space group Pm-3m (No. 221)
Inequivalent atoms, fractional coordinates:
Zr1 0.0000 0.0000 0.0000  12 Sn 3.73
Sn1 0.0000 0.5000 0.5000  2 As 2.64
As1 0.5000 0.5000 0.5000  6 Sn 2.64

## Sr3As4 (GGA-PBE)

Data for a geometry-optimized Sr3As4 structure.

Results
D(E_F), states/eV/cell: 7.08
ΔE_f, eV/atom: -0.487
Energy above the most stable polymorph in this dataset, eV/atom: 0.4787
Total DFT energy (no corrections), eV/atom: -3.86
Total magnetization, μB per formula unit: 0.00

a = 7.7465 Å, b = 7.7465 Å, c = 4.5866 Å
α = 90.00°, β = 90.00°, γ = 120.00°
Closest atoms and distances in Å follow each position.
Space group P6/mmm (No. 191)
Inequivalent atoms, fractional coordinates:
Sr1 0.0000 0.5000 0.0000  4 As 3.20
As1 0.0000 0.0000 0.2482  2 As 2.28-2.31
As2 0.3333 0.6667 0.5000  6 Sr 3.20

## Sr3As (GGA-PBE)

Data for a geometry-optimized Sr3As structure.

Results
D(E_F), states/eV/cell: 2.84
ΔE_f, eV/atom: -0.542
Energy above the most stable polymorph in this dataset, eV/atom: 0.0823
Total DFT energy (no corrections), eV/atom: -2.97
Total magnetization, μB per formula unit: 0.70

a = 4.4288 Å, b = 4.4288 Å, c = 10.9700 Å
α = 90.00°, β = 90.00°, γ = 120.00°
Closest atoms and distances in Å follow each position.
Space group P-6m2 (No. 187)
Inequivalent atoms, fractional coordinates:
Sr1 0.0000 0.0000 0.0000  12 Sr 4.43-4.53
Sr2 0.6667 0.3333 0.3408  3 As 3.10
As1 0.0000 0.0000 0.5000  6 Sr 3.10